(1)
Material: Na2Li3Tl3
Method: DFT, PBE
State: optimized geometry

Lattice parameters (Å, degrees): 10.650 10.650 10.650 159.84 153.35 33.64
Fractional positions:
Na (0.238, 0.238, 0.000)
Na (0.762, 0.762, 0.000)
Li (0.107, 0.607, 0.500)
Li (0.500, 0.500, 0.000)
Li (0.893, 0.393, 0.500)
Tl (0.000, 0.000, 0.000)
Tl (0.378, 0.878, 0.500)
Tl (0.622, 0.122, 0.500)

Calculated values
V, Å³/atom: 23.32
Formation energy, eV/f.u.: -1.19
Space-group type: Immm
Total magnetic moment, μB per formula unit: 0.000
Total energy, eV per cell: -16.7


(2)
Material: NaLi2Tl5
Method: DFT, PBE
State: optimized geometry

Lattice parameters (Å, degrees): 6.663 6.675 6.676 119.84 90.16 119.85
Fractional positions:
Na (0.000, 0.000, 0.000)
Li (0.000, 0.500, 0.999)
Li (0.500, 0.500, 0.499)
Tl (0.000, 0.500, 0.499)
Tl (0.499, 0.999, 0.498)
Tl (0.500, 0.000, 0.999)
Tl (0.500, 0.500, 0.999)
Tl (0.999, 0.000, 0.500)

Calculated values
V, Å³/atom: 26.33
Energy relative to the lowest polymorph listed for this composition, kJ/mol of atoms: 3.0
Formation energy, eV/f.u.: -0.66
Space-group type: P1
Total magnetic moment, μB per formula unit: 0.000
Total energy, eV per cell: -17.6


(3)
Material: Na4LiTl2
Method: DFT, PBE
State: optimized geometry

Lattice parameters (Å, degrees): 6.597 9.306 7.280 90.00 106.75 90.00
Fractional positions:
Na (0.104, 0.182, 0.062)
Na (0.104, 0.318, 0.562)
Na (0.372, 0.653, 0.863)
Na (0.372, 0.847, 0.363)
Na (0.628, 0.153, 0.637)
Na (0.628, 0.347, 0.137)
Na (0.896, 0.682, 0.438)
Na (0.896, 0.818, 0.938)
Li (0.500, 0.000, 0.000)
Li (0.500, 0.500, 0.500)
Tl (0.165, 0.518, 0.186)
Tl (0.165, 0.982, 0.686)
Tl (0.835, 0.018, 0.314)
Tl (0.835, 0.482, 0.814)

Calculated values
V, Å³/atom: 30.57
Energy relative to the lowest polymorph listed for this composition, kJ/mol of atoms: 0.0
Formation energy, eV/f.u.: -0.39
Space-group type: P2_1/c
Total magnetic moment, μB per formula unit: 0.000
Total energy, eV per cell: -24.6


(4)
Material: NaLi3Tl5
Method: DFT, PBE
State: optimized geometry

Lattice parameters (Å, degrees): 8.871 8.871 6.530 90.00 90.00 120.00
Fractional positions:
Na (0.000, 0.000, 0.000)
Na (0.000, 0.000, 0.500)
Li (0.000, 0.360, 0.250)
Li (0.000, 0.640, 0.750)
Li (0.360, 0.000, 0.250)
Li (0.360, 0.360, 0.750)
Li (0.640, 0.000, 0.750)
Li (0.640, 0.640, 0.250)
Tl (0.000, 0.312, 0.750)
Tl (0.000, 0.688, 0.250)
Tl (0.312, 0.000, 0.750)
Tl (0.312, 0.312, 0.250)
Tl (0.333, 0.667, 0.000)
Tl (0.333, 0.667, 0.500)
Tl (0.667, 0.333, 0.000)
Tl (0.667, 0.333, 0.500)
Tl (0.688, 0.000, 0.250)
Tl (0.688, 0.688, 0.750)

Calculated values
V, Å³/atom: 24.73
Formation energy, eV/f.u.: -1.17
Space-group type: P6_3/mcm
Total magnetic moment, μB per formula unit: 0.000
Total energy, eV per cell: -40.1


(5)
Material: Na5Li2Tl12
Method: DFT, PBE
State: optimized geometry

Lattice parameters (Å, degrees): 8.759 8.759 9.504 120.05 120.05 73.22
Fractional positions:
Na (0.000, 0.000, 0.000)
Na (0.269, 0.269, 0.108)
Na (0.284, 0.284, 0.750)
Na (0.716, 0.716, 0.250)
Na (0.731, 0.731, 0.892)
Li (0.247, 0.753, 0.500)
Li (0.753, 0.247, 0.500)
Tl (0.000, 0.000, 0.333)
Tl (0.000, 0.000, 0.667)
Tl (0.029, 0.391, 0.328)
Tl (0.176, 0.642, 0.092)
Tl (0.358, 0.824, 0.908)
Tl (0.391, 0.029, 0.328)
Tl (0.444, 0.444, 0.607)
Tl (0.556, 0.556, 0.393)
Tl (0.609, 0.971, 0.672)
Tl (0.642, 0.176, 0.092)
Tl (0.824, 0.358, 0.908)
Tl (0.971, 0.609, 0.672)

Calculated values
V, Å³/atom: 28.72
Energy relative to the lowest polymorph listed for this composition, kJ/mol of atoms: 0.8
Formation energy, eV/f.u.: -1.17
Space-group type: C2/m
Total magnetic moment, μB per formula unit: 0.000
Total energy, eV per cell: -40.0


(6)
Material: NaLi15Tl4
Method: DFT, PBE
State: optimized geometry

Lattice parameters (Å, degrees): 4.659 4.659 18.315 90.00 90.00 90.00
Fractional positions:
Na (0.000, 0.000, 0.000)
Li (0.000, 0.500, 0.115)
Li (0.000, 0.500, 0.305)
Li (0.000, 0.500, 0.500)
Li (0.000, 0.500, 0.695)
Li (0.000, 0.500, 0.885)
Li (0.500, 0.000, 0.115)
Li (0.500, 0.000, 0.305)
Li (0.500, 0.000, 0.500)
Li (0.500, 0.000, 0.695)
Li (0.500, 0.000, 0.885)
Li (0.500, 0.500, 0.000)
Li (0.500, 0.500, 0.209)
Li (0.500, 0.500, 0.402)
Li (0.500, 0.500, 0.598)
Li (0.500, 0.500, 0.791)
Tl (0.000, 0.000, 0.210)
Tl (0.000, 0.000, 0.403)
Tl (0.000, 0.000, 0.597)
Tl (0.000, 0.000, 0.790)

Calculated values
V, Å³/atom: 19.88
Formation energy, eV/f.u.: -3.06
Space-group type: P4/mmm
Total magnetic moment, μB per formula unit: 0.000
Total energy, eV per cell: -42.5


(7)
Material: NaLi2Tl3
Method: DFT, PBE
State: optimized geometry

Lattice parameters (Å, degrees): 3.496 3.496 11.514 90.00 90.00 90.00
Fractional positions:
Na (0.000, 0.000, 0.000)
Li (0.000, 0.000, 0.352)
Li (0.000, 0.000, 0.648)
Tl (0.500, 0.500, 0.197)
Tl (0.500, 0.500, 0.500)
Tl (0.500, 0.500, 0.803)

Calculated values
V, Å³/atom: 23.46
Formation energy, eV/f.u.: -1.10
Space-group type: P4/mmm
Total magnetic moment, μB per formula unit: 0.000
Total energy, eV per cell: -13.4


(8)
Material: Na6LiTl3
Method: DFT, PBE
State: optimized geometry

Lattice parameters (Å, degrees): 8.994 8.994 8.994 107.86 107.86 107.86
Fractional positions:
Na (0.005, 0.691, 0.143)
Na (0.143, 0.005, 0.691)
Na (0.182, 0.469, 0.638)
Na (0.309, 0.857, 0.995)
Na (0.362, 0.818, 0.531)
Na (0.469, 0.638, 0.182)
Na (0.531, 0.362, 0.818)
Na (0.638, 0.182, 0.469)
Na (0.691, 0.143, 0.005)
Na (0.818, 0.531, 0.362)
Na (0.857, 0.995, 0.309)
Na (0.995, 0.309, 0.857)
Li (0.000, 0.000, 0.000)
Li (0.500, 0.500, 0.500)
Tl (0.120, 0.386, 0.252)
Tl (0.252, 0.120, 0.386)
Tl (0.386, 0.252, 0.120)
Tl (0.614, 0.748, 0.880)
Tl (0.748, 0.880, 0.614)
Tl (0.880, 0.614, 0.748)

Calculated values
V, Å³/atom: 29.55
Formation energy, eV/f.u.: -1.05
Space-group type: R-3
Total magnetic moment, μB per formula unit: 0.000
Total energy, eV per cell: -35.9


(9)
Material: Na3LiTl8
Method: DFT, PBE
State: optimized geometry

Lattice parameters (Å, degrees): 8.334 8.334 8.334 99.10 93.00 142.14
Fractional positions:
Na (0.000, 0.000, 0.000)
Na (0.497, 0.249, 0.752)
Na (0.497, 0.745, 0.248)
Li (0.999, 0.499, 0.500)
Tl (0.161, 0.252, 0.419)
Tl (0.161, 0.741, 0.908)
Tl (0.332, 0.501, 0.831)
Tl (0.339, 0.999, 0.339)
Tl (0.660, 0.999, 0.661)
Tl (0.671, 0.501, 0.169)
Tl (0.833, 0.252, 0.092)
Tl (0.833, 0.741, 0.581)

Calculated values
V, Å³/atom: 27.96
Formation energy, eV/f.u.: -1.26
Space-group type: Imm2
Total magnetic moment, μB per formula unit: 0.000
Total energy, eV per cell: -26.1


(10)
Material: Na3LiTl5
Method: DFT, PBE
State: optimized geometry

Lattice parameters (Å, degrees): 9.230 9.230 9.230 124.97 124.97 81.59
Fractional positions:
Na (0.118, 0.618, 0.736)
Na (0.250, 0.250, 0.000)
Na (0.382, 0.118, 0.500)
Na (0.618, 0.882, 0.500)
Na (0.750, 0.750, 0.000)
Na (0.882, 0.382, 0.264)
Li (0.250, 0.750, 0.500)
Li (0.750, 0.250, 0.500)
Tl (0.000, 0.000, 0.000)
Tl (0.052, 0.164, 0.500)
Tl (0.164, 0.664, 0.112)
Tl (0.336, 0.448, 0.500)
Tl (0.448, 0.948, 0.112)
Tl (0.500, 0.500, 0.000)
Tl (0.552, 0.052, 0.888)
Tl (0.664, 0.552, 0.500)
Tl (0.836, 0.336, 0.888)
Tl (0.948, 0.836, 0.500)

Calculated values
V, Å³/atom: 28.24
Energy relative to the lowest polymorph listed for this composition, kJ/mol of atoms: 8.9
Formation energy, eV/f.u.: -0.22
Space-group type: I4/mcm
Total magnetic moment, μB per formula unit: 0.000
Total energy, eV per cell: -35.8


(11)
Material: Na3LiTl
Method: DFT, PBE
State: optimized geometry

Lattice parameters (Å, degrees): 5.916 5.916 5.916 90.00 90.00 90.00
Fractional positions:
Na (0.000, 0.000, 0.500)
Na (0.000, 0.500, 0.000)
Na (0.500, 0.000, 0.000)
Li (0.500, 0.500, 0.500)
Tl (0.000, 0.000, 0.000)

Calculated values
V, Å³/atom: 41.41
Energy relative to the lowest polymorph listed for this composition, kJ/mol of atoms: 24.7
Formation energy, eV/f.u.: 1.06
Space-group type: Pm-3m
Total magnetic moment, μB per formula unit: 0.000
Total energy, eV per cell: -7.2


(12)
Material: NaLi7Tl4
Method: DFT, PBE
State: optimized geometry

Lattice parameters (Å, degrees): 7.601 7.601 8.762 122.33 122.33 38.57
Fractional positions:
Na (0.000, 0.000, 0.000)
Li (0.077, 0.077, 0.436)
Li (0.213, 0.213, 0.880)
Li (0.267, 0.267, 0.300)
Li (0.500, 0.500, 0.000)
Li (0.733, 0.733, 0.700)
Li (0.787, 0.787, 0.120)
Li (0.923, 0.923, 0.564)
Tl (0.314, 0.314, 0.657)
Tl (0.442, 0.442, 0.265)
Tl (0.558, 0.558, 0.735)
Tl (0.686, 0.686, 0.343)

Calculated values
V, Å³/atom: 21.67
Energy relative to the lowest polymorph listed for this composition, kJ/mol of atoms: 0.0
Formation energy, eV/f.u.: -1.54
Space-group type: C2/m
Total magnetic moment, μB per formula unit: 0.000
Total energy, eV per cell: -25.7


(13)
Material: NaLi3Tl2
Method: DFT, PBE
State: optimized geometry

Lattice parameters (Å, degrees): 3.467 3.467 11.453 90.00 90.00 90.00
Fractional positions:
Na (0.000, 0.000, 0.000)
Li (0.500, 0.500, 0.207)
Li (0.500, 0.500, 0.500)
Li (0.500, 0.500, 0.793)
Tl (0.000, 0.000, 0.346)
Tl (0.000, 0.000, 0.654)

Calculated values
V, Å³/atom: 22.94
Energy relative to the lowest polymorph listed for this composition, kJ/mol of atoms: 0.0
Formation energy, eV/f.u.: -0.92
Space-group type: P4/mmm
Total magnetic moment, μB per formula unit: 0.000
Total energy, eV per cell: -12.7


(14)
Material: Na2LiTl2
Method: DFT, PBE
State: optimized geometry

Lattice parameters (Å, degrees): 8.829 8.829 3.637 90.00 90.00 90.00
Fractional positions:
Na (0.130, 0.370, 0.000)
Na (0.370, 0.870, 0.000)
Na (0.630, 0.130, 0.000)
Na (0.870, 0.630, 0.000)
Li (0.000, 0.000, 0.000)
Li (0.500, 0.500, 0.000)
Tl (0.171, 0.671, 0.500)
Tl (0.329, 0.171, 0.500)
Tl (0.671, 0.829, 0.500)
Tl (0.829, 0.329, 0.500)

Calculated values
V, Å³/atom: 28.35
Energy relative to the lowest polymorph listed for this composition, kJ/mol of atoms: 11.6
Formation energy, eV/f.u.: -0.03
Space-group type: P4/mbm
Total magnetic moment, μB per formula unit: 0.000
Total energy, eV per cell: -18.6


(15)
Material: NaLi4Tl5
Method: DFT, PBE
State: optimized geometry

Lattice parameters (Å, degrees): 3.531 3.531 18.017 90.00 90.00 90.00
Fractional positions:
Na (0.000, 0.000, 0.000)
Li (0.000, 0.000, 0.221)
Li (0.000, 0.000, 0.407)
Li (0.000, 0.000, 0.593)
Li (0.000, 0.000, 0.779)
Tl (0.500, 0.500, 0.124)
Tl (0.500, 0.500, 0.313)
Tl (0.500, 0.500, 0.500)
Tl (0.500, 0.500, 0.687)
Tl (0.500, 0.500, 0.876)

Calculated values
V, Å³/atom: 22.47
Formation energy, eV/f.u.: -1.97
Space-group type: P4/mmm
Total magnetic moment, μB per formula unit: 0.000
Total energy, eV per cell: -22.8


(16)
Material: NaLi2Tl4
Method: DFT, PBE
State: optimized geometry

Lattice parameters (Å, degrees): 8.790 8.790 8.790 34.00 34.00 34.00
Fractional positions:
Na (0.000, 0.000, 0.000)
Li (0.126, 0.126, 0.126)
Li (0.874, 0.874, 0.874)
Tl (0.241, 0.241, 0.241)
Tl (0.391, 0.391, 0.391)
Tl (0.609, 0.609, 0.609)
Tl (0.759, 0.759, 0.759)

Calculated values
V, Å³/atom: 27.05
Energy relative to the lowest polymorph listed for this composition, kJ/mol of atoms: 6.7
Formation energy, eV/f.u.: -0.39
Space-group type: R-3m
Total magnetic moment, μB per formula unit: 0.000
Total energy, eV per cell: -15.0


(17)
Material: Na6LiTl8
Method: DFT, PBE
State: optimized geometry

Lattice parameters (Å, degrees): 9.122 9.122 5.932 90.00 90.00 120.00
Fractional positions:
Na (0.091, 0.456, 0.280)
Na (0.365, 0.909, 0.280)
Na (0.456, 0.365, 0.720)
Na (0.544, 0.635, 0.280)
Na (0.635, 0.091, 0.720)
Na (0.909, 0.544, 0.720)
Li (0.000, 0.000, 0.500)
Tl (0.048, 0.260, 0.790)
Tl (0.213, 0.952, 0.790)
Tl (0.260, 0.213, 0.210)
Tl (0.333, 0.667, 0.798)
Tl (0.667, 0.333, 0.202)
Tl (0.740, 0.787, 0.790)
Tl (0.787, 0.048, 0.210)
Tl (0.952, 0.740, 0.210)

Calculated values
V, Å³/atom: 28.50
Formation energy, eV/f.u.: -1.31
Space-group type: P-3
Total magnetic moment, μB per formula unit: 0.000
Total energy, eV per cell: -30.1


(18)
Material: NaLi6Tl12
Method: DFT, PBE
State: optimized geometry

Lattice parameters (Å, degrees): 8.512 8.512 8.512 109.47 109.47 109.47
Fractional positions:
Na (0.000, 0.000, 0.000)
Li (0.142, 0.500, 0.642)
Li (0.358, 0.858, 0.500)
Li (0.500, 0.358, 0.858)
Li (0.500, 0.642, 0.142)
Li (0.642, 0.142, 0.500)
Li (0.858, 0.500, 0.358)
Tl (0.102, 0.281, 0.821)
Tl (0.179, 0.459, 0.281)
Tl (0.179, 0.898, 0.719)
Tl (0.281, 0.179, 0.459)
Tl (0.281, 0.821, 0.102)
Tl (0.459, 0.281, 0.179)
Tl (0.541, 0.719, 0.821)
Tl (0.719, 0.179, 0.898)
Tl (0.719, 0.821, 0.541)
Tl (0.821, 0.102, 0.281)
Tl (0.821, 0.541, 0.719)
Tl (0.898, 0.719, 0.179)

Calculated values
V, Å³/atom: 24.98
Energy relative to the lowest polymorph listed for this composition, kJ/mol of atoms: 0.0
Formation energy, eV/f.u.: -1.80
Space-group type: Im-3
Total magnetic moment, μB per formula unit: 0.000
Total energy, eV per cell: -43.0


(19)
Material: Na8Li2Tl
Method: DFT, PBE
State: optimized geometry

Lattice parameters (Å, degrees): 8.910 8.910 5.744 99.58 99.58 58.17
Fractional positions:
Na (0.127, 0.735, 0.712)
Na (0.166, 0.166, 0.841)
Na (0.265, 0.873, 0.288)
Na (0.291, 0.291, 0.408)
Na (0.709, 0.709, 0.592)
Na (0.735, 0.127, 0.712)
Na (0.834, 0.834, 0.159)
Na (0.873, 0.265, 0.288)
Li (0.410, 0.410, 0.005)
Li (0.590, 0.590, 0.995)
Tl (0.500, 0.500, 0.500)

Calculated values
V, Å³/atom: 34.58
Formation energy, eV/f.u.: 0.46
Space-group type: C2/m
Total magnetic moment, μB per formula unit: 0.000
Total energy, eV per cell: -16.3


(20)
Material: NaLi6Tl12
Method: DFT, PBE
State: optimized geometry

Lattice parameters (Å, degrees): 8.347 8.347 8.347 105.25 105.25 105.25
Fractional positions:
Na (0.000, 0.000, 0.000)
Li (0.271, 0.271, 0.709)
Li (0.271, 0.709, 0.271)
Li (0.291, 0.729, 0.729)
Li (0.709, 0.271, 0.271)
Li (0.729, 0.291, 0.729)
Li (0.729, 0.729, 0.291)
Tl (0.118, 0.500, 0.882)
Tl (0.118, 0.882, 0.500)
Tl (0.154, 0.409, 0.409)
Tl (0.409, 0.154, 0.409)
Tl (0.409, 0.409, 0.154)
Tl (0.500, 0.118, 0.882)
Tl (0.500, 0.882, 0.118)
Tl (0.591, 0.591, 0.846)
Tl (0.591, 0.846, 0.591)
Tl (0.846, 0.591, 0.591)
Tl (0.882, 0.118, 0.500)
Tl (0.882, 0.500, 0.118)

Calculated values
V, Å³/atom: 26.61
Energy relative to the lowest polymorph listed for this composition, kJ/mol of atoms: 2.7
Formation energy, eV/f.u.: -1.26
Space-group type: R-3m
Total magnetic moment, μB per formula unit: 0.000
Total energy, eV per cell: -42.5